Entry 1:
The following is a GGA-PBE calculation of a relaxed Li2CeN2 crystal, from Alexandria via LeMat-Bulk.

CIF file:
```
data_Li2CeN2
_chemical_formula_sum 'Li2 Ce1 N2'
_space_group_name_H-M_alt 'P -3 m 1'
_space_group_IT_number 164
_space_group_name_Hall '-P 3 2"'
_cell_length_a 3.5904
_cell_length_b 3.5904
_cell_length_c 5.4698
_cell_angle_alpha 90.00
_cell_angle_beta 90.00
_cell_angle_gamma 120.00
loop_
_atom_site_label
_atom_site_type_symbol
_atom_site_fract_x
_atom_site_fract_y
_atom_site_fract_z
Li1 Li 0.3333 0.6667 0.1058
Ce1 Ce 0.0000 0.0000 0.5000
N1 N 0.3333 0.6667 0.7258
```

Results
raw formation energy	-0.982	eV/atom
calculated volume	61	Å³ per cell
magnetization	0.00	μB/cell
final energy	-6.264	eV per atom

***

Entry 2:
The following is a GGA-PBE calculation of a relaxed LiCe2N crystal, from Alexandria via LeMat-Bulk.

CIF file:
```
data_LiCe2N
_chemical_formula_sum 'Li3 Ce6 N3'
_space_group_name_H-M_alt 'R 3 m'
_space_group_IT_number 160
_space_group_name_Hall 'R 3 -2"'
_cell_length_a 3.4404
_cell_length_b 3.4404
_cell_length_c 26.8823
_cell_angle_alpha 90.00
_cell_angle_beta 90.00
_cell_angle_gamma 120.00
loop_
_atom_site_label
_atom_site_type_symbol
_atom_site_fract_x
_atom_site_fract_y
_atom_site_fract_z
Li1 Li 0.0000 0.0000 0.0000
Ce1 Ce 0.0000 0.0000 0.5519
Ce2 Ce 0.0000 0.0000 0.7796
N1 N 0.0000 0.0000 0.1657
```

Results
raw formation energy	-0.622	eV/atom
calculated volume	276	Å³ per cell
magnetization	5.79	μB/cell
DOS at the Fermi energy	1.603	states/eV per atom
final energy	-6.149	eV per atom

***

Entry 3:
The following is a GGA-PBE calculation of a relaxed LiCe3N crystal, from Alexandria via LeMat-Bulk.

CIF file:
```
data_LiCe3N
_chemical_formula_sum 'Li1 Ce3 N1'
_space_group_name_H-M_alt 'P m -3 m'
_space_group_IT_number 221
_space_group_name_Hall '-P 4 2 3'
_cell_length_a 4.898
_cell_length_b 4.898
_cell_length_c 4.898
_cell_angle_alpha 90.00
_cell_angle_beta 90.00
_cell_angle_gamma 90.00
loop_
_atom_site_label
_atom_site_type_symbol
_atom_site_fract_x
_atom_site_fract_y
_atom_site_fract_z
Li1 Li 0.000 0.000 0.000
Ce1 Ce 0.000 0.500 0.500
N1 N 0.500 0.500 0.500
```

Results
raw formation energy	-0.421	eV/atom
calculated volume	117	Å³ per cell
magnetization	2.07	μB/cell
DOS at the Fermi energy	2.202	states/eV per atom
final energy	-6.029	eV per atom

***

Entry 4:
The following is a GGA-PBE calculation of a relaxed LiCeNb4N8 crystal, from Alexandria via LeMat-Bulk.

CIF file:
```
data_LiCeNb4N8
_chemical_formula_sum 'Li3 Ce3 Nb12 N24'
_space_group_name_H-M_alt 'R 3 m'
_space_group_IT_number 160
_space_group_name_Hall 'R 3 -2"'
_cell_length_a 6.4180
_cell_length_b 6.4180
_cell_length_c 15.2683
_cell_angle_alpha 90.00
_cell_angle_beta 90.00
_cell_angle_gamma 120.00
loop_
_atom_site_label
_atom_site_type_symbol
_atom_site_fract_x
_atom_site_fract_y
_atom_site_fract_z
Li1 Li 0.0000 0.0000 0.0000
Ce1 Ce 0.0000 0.0000 0.6025
Nb1 Nb 0.0000 0.0000 0.3766
Nb2 Nb 0.0126 0.5063 0.5003
N1 N 0.0000 0.0000 0.2435
N2 N 0.0000 0.0000 0.7571
N3 N 0.1720 0.3440 0.0964
N4 N 0.1917 0.3834 0.5747
```

Results
raw formation energy	-0.832	eV/atom
calculated volume	545	Å³ per cell
magnetization	0.00	μB/cell
DOS at the Fermi energy	0.301	states/eV per atom
final energy	-9.027	eV per atom

***

Entry 5:
The following is a GGA-PBE calculation of a relaxed Li2CeNb3N6 crystal, from Alexandria via LeMat-Bulk.

CIF file:
```
data_Li2CeNb3N6
_chemical_formula_sum 'Li4 Ce2 Nb6 N12'
_space_group_name_H-M_alt 'C 1 2/m 1'
_space_group_IT_number 12
_space_group_name_Hall '-C 2y'
_cell_length_a 5.400
_cell_length_b 9.382
_cell_length_c 5.759
_cell_angle_alpha 90.00
_cell_angle_beta 107.64
_cell_angle_gamma 90.00
loop_
_atom_site_label
_atom_site_type_symbol
_atom_site_fract_x
_atom_site_fract_y
_atom_site_fract_z
Li1 Li 0.000 0.166 0.000
Ce1 Ce 0.000 0.500 0.000
Nb1 Nb 0.000 0.000 0.500
Nb2 Nb 0.000 0.325 0.500
N1 N 0.240 0.500 0.721
N2 N 0.242 0.168 0.725
```

Results
raw formation energy	-1.065	eV/atom
calculated volume	278	Å³ per cell
magnetization	0.00	μB/cell
DOS at the Fermi energy	0.464	states/eV per atom
final energy	-8.559	eV per atom

***

Entry 6:
The following is a GGA-PBE calculation of a relaxed LiCeNbN3 crystal, from Alexandria via LeMat-Bulk.

CIF file:
```
data_LiCeNbN3
_chemical_formula_sum 'Li2 Ce2 Nb2 N6'
_space_group_name_H-M_alt 'P 1 21/m 1'
_space_group_IT_number 11
_space_group_name_Hall '-P 2yb'
_cell_length_a 6.700
_cell_length_b 3.231
_cell_length_c 6.925
_cell_angle_alpha 90.00
_cell_angle_beta 104.41
_cell_angle_gamma 90.00
loop_
_atom_site_label
_atom_site_type_symbol
_atom_site_fract_x
_atom_site_fract_y
_atom_site_fract_z
Li1 Li 0.081 0.250 0.089
Ce1 Ce 0.196 0.250 0.722
Nb1 Nb 0.331 0.750 0.319
N1 N 0.118 0.250 0.368
N2 N 0.217 0.750 0.026
N3 N 0.441 0.750 0.661
```

Results
raw formation energy	-1.017	eV/atom
calculated volume	145	Å³ per cell
magnetization	0.53	μB/cell
DOS at the Fermi energy	0.501	states/eV per atom
final energy	-8.166	eV per atom

***

Entry 7:
The following is a GGA-PBE calculation of a relaxed Li2Ce3NbN6 crystal, from Alexandria via LeMat-Bulk.

CIF file:
```
data_Li2Ce3NbN6
_chemical_formula_sum 'Li4 Ce6 Nb2 N12'
_space_group_name_H-M_alt 'C 1 2/m 1'
_space_group_IT_number 12
_space_group_name_Hall '-C 2y'
_cell_length_a 6.002
_cell_length_b 10.444
_cell_length_c 5.603
_cell_angle_alpha 90.00
_cell_angle_beta 109.95
_cell_angle_gamma 90.00
loop_
_atom_site_label
_atom_site_type_symbol
_atom_site_fract_x
_atom_site_fract_y
_atom_site_fract_z
Li1 Li 0.000 0.157 0.000
Ce1 Ce 0.000 0.000 0.500
Ce2 Ce 0.000 0.330 0.500
Nb1 Nb 0.000 0.500 0.000
N1 N 0.212 0.500 0.746
N2 N 0.229 0.355 0.245
```

Results
raw formation energy	-1.065	eV/atom
calculated volume	330	Å³ per cell
magnetization	0.01	μB/cell
DOS at the Fermi energy	0.502	states/eV per atom
final energy	-7.869	eV per atom

***

Entry 8:
The following is a GGA-PBE calculation of a relaxed Li2CeNbN4 crystal, from Alexandria via LeMat-Bulk.

CIF file:
```
data_Li2CeNbN4
_chemical_formula_sum 'Li4 Ce2 Nb2 N8'
_space_group_name_H-M_alt 'I -4 2 m'
_space_group_IT_number 121
_space_group_name_Hall 'I -4 2'
_cell_length_a 5.339
_cell_length_b 5.339
_cell_length_c 7.012
_cell_angle_alpha 90.00
_cell_angle_beta 90.00
_cell_angle_gamma 90.00
loop_
_atom_site_label
_atom_site_type_symbol
_atom_site_fract_x
_atom_site_fract_y
_atom_site_fract_z
Li1 Li 0.000 0.500 0.250
Ce1 Ce 0.000 0.000 0.000
Nb1 Nb 0.000 0.000 0.500
N1 N 0.224 0.224 0.356
```

Results
raw formation energy	-0.741	eV/atom
calculated volume	200	Å³ per cell
magnetization	0.09	μB/cell
DOS at the Fermi energy	0.831	states/eV per atom
final energy	-7.383	eV per atom

***

Entry 9:
The following is a GGA-PBE calculation of a relaxed LiCe2NbN4 crystal, from Alexandria via LeMat-Bulk.

CIF file:
```
data_LiCe2NbN4
_chemical_formula_sum 'Li1 Ce2 Nb1 N4'
_space_group_name_H-M_alt 'P 1 2/m 1'
_space_group_IT_number 10
_space_group_name_Hall '-P 2y'
_cell_length_a 5.701
_cell_length_b 3.382
_cell_length_c 5.882
_cell_angle_alpha 90.00
_cell_angle_beta 109.85
_cell_angle_gamma 90.00
loop_
_atom_site_label
_atom_site_type_symbol
_atom_site_fract_x
_atom_site_fract_y
_atom_site_fract_z
Li1 Li 0.000 0.000 0.000
Ce1 Ce 0.500 0.000 0.500
Ce2 Ce 0.500 0.500 0.000
Nb1 Nb 0.000 0.500 0.500
N1 N 0.229 0.000 0.732
N2 N 0.235 0.500 0.278
```

Results
raw formation energy	-1.098	eV/atom
calculated volume	107	Å³ per cell
magnetization	0.21	μB/cell
DOS at the Fermi energy	0.525	states/eV per atom
final energy	-8.242	eV per atom

***

Entry 10:
The following is a GGA-PBE calculation of a relaxed LiCe2NbN5 crystal, from Alexandria via LeMat-Bulk.

CIF file:
```
data_LiCe2NbN5
_chemical_formula_sum 'Li4 Ce8 Nb4 N20'
_space_group_name_H-M_alt 'C m c 21'
_space_group_IT_number 36
_space_group_name_Hall 'C 2c -2'
_cell_length_a 3.318
_cell_length_b 13.286
_cell_length_c 10.105
_cell_angle_alpha 90.00
_cell_angle_beta 90.00
_cell_angle_gamma 90.00
loop_
_atom_site_label
_atom_site_type_symbol
_atom_site_fract_x
_atom_site_fract_y
_atom_site_fract_z
Li1 Li 0.000 0.025 0.000
Ce1 Ce 0.000 0.368 0.830
Ce2 Ce 0.000 0.392 0.207
Nb1 Nb 0.000 0.301 0.533
N1 N 0.000 0.001 0.298
N2 N 0.000 0.142 0.524
N3 N 0.000 0.184 0.906
N4 N 0.000 0.218 0.186
N5 N 0.000 0.442 0.605
```

Results
raw formation energy	-0.901	eV/atom
calculated volume	446	Å³ per cell
magnetization	0.00	μB/cell
DOS at the Fermi energy	0.556	states/eV per atom
final energy	-8.177	eV per atom

***

Entry 11:
The following is a GGA-PBE calculation of a relaxed Li2CeNp3N6 crystal, from Alexandria via LeMat-Bulk.

CIF file:
```
data_Li2CeNp3N6
_chemical_formula_sum 'Li4 Ce2 Np6 N12'
_space_group_name_H-M_alt 'C 1 2/m 1'
_space_group_IT_number 12
_space_group_name_Hall '-C 2y'
_cell_length_a 14.140
_cell_length_b 3.487
_cell_length_c 7.065
_cell_angle_alpha 90.00
_cell_angle_beta 102.02
_cell_angle_gamma 90.00
loop_
_atom_site_label
_atom_site_type_symbol
_atom_site_fract_x
_atom_site_fract_y
_atom_site_fract_z
Li1 Li 0.168 0.000 0.380
Ce1 Ce 0.000 0.500 0.000
Np1 Np 0.000 0.500 0.500
Np2 Np 0.179 0.000 0.810
N1 N 0.009 0.000 0.736
N2 N 0.164 0.500 0.593
N3 N 0.171 0.500 0.014
```

Results
raw formation energy	-1.037	eV/atom
calculated volume	341	Å³ per cell
magnetization	17.87	μB/cell
DOS at the Fermi energy	1.580	states/eV per atom
final energy	-9.249	eV per atom

***

Entry 12:
The following is a GGA-PBE calculation of a relaxed LiCe2NpN4 crystal, from Alexandria via LeMat-Bulk.

CIF file:
```
data_LiCe2NpN4
_chemical_formula_sum 'Li1 Ce2 Np1 N4'
_space_group_name_H-M_alt 'P 1 2/m 1'
_space_group_IT_number 10
_space_group_name_Hall '-P 2y'
_cell_length_a 5.875
_cell_length_b 3.585
_cell_length_c 5.927
_cell_angle_alpha 90.00
_cell_angle_beta 107.73
_cell_angle_gamma 90.00
loop_
_atom_site_label
_atom_site_type_symbol
_atom_site_fract_x
_atom_site_fract_y
_atom_site_fract_z
Li1 Li 0.000 0.000 0.000
Ce1 Ce 0.000 0.500 0.500
Ce2 Ce 0.500 0.000 0.500
Np1 Np 0.500 0.500 0.000
N1 N 0.260 0.000 0.759
N2 N 0.292 0.500 0.250
```

Results
raw formation energy	-1.110	eV/atom
calculated volume	119	Å³ per cell
magnetization	3.93	μB/cell
DOS at the Fermi energy	1.119	states/eV per atom
final energy	-8.613	eV per atom